Material: Pm2NdHg
Method: DFT, PBE
State: optimized geometry

abc: 7.8345 7.8345 7.8345
angles: 90.00 90.00 90.00
Last column: nearest neighbours and their distance in Å.
Element x y z (fractional)
Pm: 0.2500 0.2500 0.2500  4 Hg 3.39, 4 Nd 3.39
Pm: 0.2500 0.2500 0.7500  4 Hg 3.39, 4 Nd 3.39
Pm: 0.2500 0.7500 0.2500  4 Hg 3.39, 4 Nd 3.39
Pm: 0.2500 0.7500 0.7500  4 Hg 3.39, 4 Nd 3.39
Pm: 0.7500 0.2500 0.2500  4 Hg 3.39, 4 Nd 3.39
Pm: 0.7500 0.2500 0.7500  4 Hg 3.39, 4 Nd 3.39
Pm: 0.7500 0.7500 0.2500  4 Hg 3.39, 4 Nd 3.39
Pm: 0.7500 0.7500 0.7500  4 Hg 3.39, 4 Nd 3.39
Nd: 0.0000 0.0000 0.0000  8 Pm 3.39
Nd: 0.0000 0.5000 0.5000  8 Pm 3.39
Nd: 0.5000 0.0000 0.5000  8 Pm 3.39
Nd: 0.5000 0.5000 0.0000  8 Pm 3.39
Hg: 0.0000 0.0000 0.5000  8 Pm 3.39
Hg: 0.0000 0.5000 0.0000  8 Pm 3.39
Hg: 0.5000 0.0000 0.0000  8 Pm 3.39
Hg: 0.5000 0.5000 0.5000  8 Pm 3.39

Formation energy (meV per atom): -56